[1]
Sm3Dy2Tm6 after structural relaxation. Source: Alexandria, functional PBE.

a b c (Å): 4.7054 4.7054 16.8391
angles (deg): 98.03 98.03 90.00
Fractional positions:
Tm 0.6212 0.1212 0.2423
Dy 0.4536 0.4536 0.9073
Dy 0.5464 0.5464 0.0927
Sm 0.0000 0.0000 0.0000
Sm 0.2031 0.2031 0.4062
Tm 0.6931 0.6931 0.3862
Tm 0.3788 0.8788 0.7577
Tm 0.8788 0.3788 0.7577
Tm 0.1212 0.6212 0.2423
Tm 0.3069 0.3069 0.6138
Sm 0.7969 0.7969 0.5938

Output
energy of formation from the pure elements	279.5	meV per atom
D(E_F)	17.7	states/eV/f.u.
raw total energy	-4.283	eV per atom

***

[2]
Tb7Pr4Tm after structural relaxation. Source: Alexandria, functional PBE.

a b c (Å): 6.8911 8.8729 9.1616
angles (deg): 84.29 94.55 47.33
Fractional positions:
Tb 0.2929 0.8135 0.6185
Pr 0.4513 0.3599 0.7178
Tb 0.7365 0.5098 0.9502
Tb 0.0165 0.6803 0.3595
Pr 0.7760 0.8399 0.6939
Pr 0.5487 0.6401 0.2822
Pr 0.2240 0.1601 0.3061
Tb 0.9835 0.3197 0.6405
Tb 0.7071 0.1865 0.3815
Tb 0.5000 0.0000 0.0000
Tm 0.0000 0.0000 0.0000
Tb 0.2635 0.4902 0.0498

Output
energy of formation from the pure elements	88.6	meV per atom
D(E_F)	18.3	states/eV/f.u.
raw total energy	-4.578	eV per atom

***

[3]
Rb3La2SmSe6 after structural relaxation. Source: Alexandria, functional PBE.

a b c (Å): 7.6616 7.6616 8.4023
angles (deg): 98.75 98.75 120.00
Fractional positions:
Se 0.3938 0.0669 0.2006
Se 0.7401 0.7401 0.2008
Se 0.6062 0.9331 0.7994
La 0.6666 0.3334 0.0000
Se 0.9331 0.6062 0.7994
Se 0.2599 0.2599 0.7992
La 0.3334 0.6666 0.0000
Se 0.0669 0.3938 0.2006
Rb 0.5000 0.5000 0.5000
Rb 0.1674 0.8326 0.5000
Sm 0.0000 0.0000 0.0000
Rb 0.8326 0.1674 0.5000

Output
formation energy without anion corrections	-1.789	eV per atom
D(E_F)	0.0	states/eV/f.u.
raw total energy	-4.988	eV per atom